{"formula": "Rb2AgIBr4", "functional": "GGA-PBE", "state": "relaxed", "cell": [[9.883, 1.803, -0.135], [1.796, 9.885, -0.135], [-5.880, -5.884, 8.515]], "species": ["Rb", "Rb", "Rb", "Rb", "Ag", "Ag", "I", "I", "Br", "Br", "Br", "Br", "Br", "Br", "Br", "Br"], "frac_coords": [[0.500, 0.000, 0.000], [0.500, 0.000, 0.500], [0.000, 0.000, 0.500], [0.500, 0.500, 0.000], [0.000, 0.500, 0.000], [0.000, 0.500, 0.500], [0.500, 0.500, 0.500], [0.000, 0.000, 0.000], [0.307, 0.864, 0.088], [0.636, 0.193, 0.412], [0.364, 0.807, 0.588], [0.693, 0.136, 0.912], [0.798, 0.707, 0.078], [0.793, 0.702, 0.422], [0.207, 0.298, 0.578], [0.202, 0.293, 0.922]], "rho_g_cm3": 3.04, "spacegroup": "No. 15", "formation_energy_uncorrected_ev_per_atom": -0.940}